Ce3CoS6: relaxed, PBE.

a b c (Å): 6.4231 8.6052 8.6052
angles (deg): 102.10 90.00 90.00
Fractional coordinates of all 20 atoms:
Ce1 0.4718 0.9265 0.7178
Ce2 0.9718 0.7178 0.9265
Ce3 0.3966 0.3880 0.6120
Ce4 0.8966 0.6120 0.3880
Ce5 0.9718 0.0735 0.2822
Ce6 0.4718 0.2822 0.0735
Co1 0.0406 0.1941 0.8059
Co2 0.5406 0.8059 0.1941
S1 0.1850 0.6835 0.6383
S2 0.6850 0.6383 0.6835
S3 0.1920 0.4305 0.9023
S4 0.6920 0.9023 0.4305
S5 0.1659 0.0365 0.9635
S6 0.6848 0.2190 0.7810
S7 0.1848 0.7810 0.2190
S8 0.6659 0.9635 0.0365
S9 0.1920 0.0977 0.5695
S10 0.6920 0.5695 0.0977
S11 0.1850 0.3617 0.3165
S12 0.6850 0.3165 0.3617

Summary:
- Formation energy (no corrections): -1.600 eV per atom
- Spin magnetization: 1.8 μB per cell
- N(E_F): 24.899 states/eV per cell
- E above lowest polymorph: 0 meV per atom
- SG: Cmc2_1 (36)